[1]
# MgNpTcRu | the Alexandria database | PBE | relaxed
data_MgNpTcRu
_chemical_formula_sum 'Mg1 Np1 Tc1 Ru1'
_cell_length_a 4.586
_cell_length_b 4.586
_cell_length_c 4.586
_cell_angle_alpha 60.00
_cell_angle_beta 60.00
_cell_angle_gamma 60.00
_space_group_name_H-M_alt 'P 1'
_space_group_IT_number 1
_space_group_name_Hall 'P 1'
loop_
_atom_site_label
_atom_site_type_symbol
_atom_site_fract_x
_atom_site_fract_y
_atom_site_fract_z
Mg1 Mg 0.000 0.000 0.000
Np1 Np 0.500 0.500 0.500
Tc1 Tc 0.750 0.750 0.750
Ru1 Ru 0.250 0.250 0.250
# Crystal system   cubic
# Size of the total moment   2.231 μB/f.u.
# VASP energy   -8.522 eV per atom
# Symmetry   F-43m

[2]
# Mg2NpS4 | the Alexandria database | PBE | relaxed
data_Mg2NpS4
_chemical_formula_sum 'Mg8 Np4 S16'
_cell_length_a 7.704
_cell_length_b 7.704
_cell_length_c 10.939
_cell_angle_alpha 90.00
_cell_angle_beta 90.00
_cell_angle_gamma 90.00
_space_group_name_H-M_alt 'P 1'
_space_group_IT_number 1
_space_group_name_Hall 'P 1'
loop_
_atom_site_label
_atom_site_type_symbol
_atom_site_fract_x
_atom_site_fract_y
_atom_site_fract_z
Mg1 Mg 0.000 0.232 0.000
Mg2 Mg 0.000 0.768 0.500
Mg3 Mg 0.232 0.000 0.750
Mg4 Mg 0.252 0.252 0.375
Mg5 Mg 0.252 0.748 0.125
Mg6 Mg 0.748 0.252 0.625
Mg7 Mg 0.748 0.748 0.875
Mg8 Mg 0.768 0.000 0.250
Np1 Np 0.232 0.500 0.750
Np2 Np 0.500 0.232 0.000
Np3 Np 0.500 0.768 0.500
Np4 Np 0.768 0.500 0.250
S1 S 0.002 0.244 0.762
S2 S 0.002 0.756 0.738
S3 S 0.244 0.002 0.988
S4 S 0.244 0.998 0.512
S5 S 0.250 0.480 0.995
S6 S 0.250 0.520 0.505
S7 S 0.480 0.250 0.755
S8 S 0.480 0.750 0.745
S9 S 0.520 0.250 0.245
S10 S 0.520 0.750 0.255
S11 S 0.750 0.480 0.005
S12 S 0.750 0.520 0.495
S13 S 0.756 0.002 0.012
S14 S 0.756 0.998 0.488
S15 S 0.998 0.244 0.238
S16 S 0.998 0.756 0.262
# Raw formation energy   -1.31 eV per atom
# Crystal system   tetragonal
# Size of the total moment   3.000 μB/f.u.
# Symmetry   P4_122

[3]
# MgNpS3 | the Alexandria database | PBE | relaxed
data_MgNpS3
_chemical_formula_sum 'Mg2 Np2 S6'
_cell_length_a 7.306
_cell_length_b 3.783
_cell_length_c 7.547
_cell_angle_alpha 90.00
_cell_angle_beta 95.11
_cell_angle_gamma 90.00
_space_group_name_H-M_alt 'P 1'
_space_group_IT_number 1
_space_group_name_Hall 'P 1'
loop_
_atom_site_label
_atom_site_type_symbol
_atom_site_fract_x
_atom_site_fract_y
_atom_site_fract_z
Mg1 Mg 0.130 0.250 0.165
Mg2 Mg 0.870 0.750 0.835
Np1 Np 0.384 0.750 0.729
Np2 Np 0.616 0.250 0.271
S1 S 0.106 0.250 0.825
S2 S 0.308 0.250 0.472
S3 S 0.383 0.750 0.119
S4 S 0.617 0.250 0.881
S5 S 0.692 0.750 0.528
S6 S 0.894 0.750 0.175
# Raw formation energy   -1.29 eV per atom
# Crystal system   monoclinic
# Size of the total moment   3.000 μB/f.u.
# Symmetry   P2_1/m

[4]
# Mg5Np3S12 | the Alexandria database | PBE | relaxed
data_Mg5Np3S12
_chemical_formula_sum 'Mg20 Np12 S48'
_cell_length_a 13.144
_cell_length_b 13.144
_cell_length_c 13.144
_cell_angle_alpha 109.47
_cell_angle_beta 109.47
_cell_angle_gamma 109.47
_space_group_name_H-M_alt 'P 1'
_space_group_IT_number 1
_space_group_name_Hall 'P 1'
loop_
_atom_site_label
_atom_site_type_symbol
_atom_site_fract_x
_atom_site_fract_y
_atom_site_fract_z
Mg1 Mg 0.000 0.000 0.000
Mg2 Mg 0.000 0.000 0.500
Mg3 Mg 0.000 0.500 0.000
Mg4 Mg 0.000 0.500 0.500
Mg5 Mg 0.125 0.750 0.875
Mg6 Mg 0.125 0.875 0.250
Mg7 Mg 0.250 0.125 0.875
Mg8 Mg 0.250 0.625 0.375
Mg9 Mg 0.375 0.250 0.625
Mg10 Mg 0.375 0.625 0.750
Mg11 Mg 0.500 0.000 0.000
Mg12 Mg 0.500 0.000 0.500
Mg13 Mg 0.500 0.500 0.000
Mg14 Mg 0.500 0.500 0.500
Mg15 Mg 0.625 0.375 0.250
Mg16 Mg 0.625 0.750 0.375
Mg17 Mg 0.750 0.375 0.625
Mg18 Mg 0.750 0.875 0.125
Mg19 Mg 0.875 0.125 0.750
Mg20 Mg 0.875 0.250 0.125
Np1 Np 0.125 0.250 0.375
Np2 Np 0.125 0.375 0.750
Np3 Np 0.250 0.375 0.125
Np4 Np 0.250 0.875 0.625
Np5 Np 0.375 0.125 0.250
Np6 Np 0.375 0.750 0.125
Np7 Np 0.625 0.250 0.875
Np8 Np 0.625 0.875 0.750
Np9 Np 0.750 0.125 0.375
Np10 Np 0.750 0.625 0.875
Np11 Np 0.875 0.625 0.250
Np12 Np 0.875 0.750 0.625
S1 S 0.047 0.222 0.131
S2 S 0.047 0.325 0.916
S3 S 0.084 0.631 0.410
S4 S 0.084 0.953 0.675
S5 S 0.090 0.722 0.675
S6 S 0.090 0.869 0.416
S7 S 0.131 0.047 0.222
S8 S 0.131 0.584 0.910
S9 S 0.175 0.222 0.590
S10 S 0.175 0.453 0.584
S11 S 0.222 0.131 0.047
S12 S 0.222 0.590 0.175
S13 S 0.278 0.325 0.910
S14 S 0.278 0.453 0.369
S15 S 0.325 0.910 0.278
S16 S 0.325 0.916 0.047
S17 S 0.369 0.278 0.453
S18 S 0.369 0.590 0.916
S19 S 0.410 0.084 0.631
S20 S 0.410 0.825 0.778
S21 S 0.416 0.090 0.869
S22 S 0.416 0.825 0.547
S23 S 0.453 0.369 0.278
S24 S 0.453 0.584 0.175
S25 S 0.547 0.416 0.825
S26 S 0.547 0.631 0.722
S27 S 0.584 0.175 0.453
S28 S 0.584 0.910 0.131
S29 S 0.590 0.175 0.222
S30 S 0.590 0.916 0.369
S31 S 0.631 0.410 0.084
S32 S 0.631 0.722 0.547
S33 S 0.675 0.084 0.953
S34 S 0.675 0.090 0.722
S35 S 0.722 0.547 0.631
S36 S 0.722 0.675 0.090
S37 S 0.778 0.410 0.825
S38 S 0.778 0.869 0.953
S39 S 0.825 0.547 0.416
S40 S 0.825 0.778 0.410
S41 S 0.869 0.416 0.090
S42 S 0.869 0.953 0.778
S43 S 0.910 0.131 0.584
S44 S 0.910 0.278 0.325
S45 S 0.916 0.047 0.325
S46 S 0.916 0.369 0.590
S47 S 0.953 0.675 0.084
S48 S 0.953 0.778 0.869
# Raw formation energy   -1.13 eV per atom
# Crystal system   cubic
# Size of the total moment   6.996 μB/f.u.
# Symmetry   Ia-3d

[5]
# MgNp6S8 | the Alexandria database | PBE | relaxed
data_MgNp6S8
_chemical_formula_sum 'Mg1 Np6 S8'
_cell_length_a 7.784
_cell_length_b 7.784
_cell_length_c 7.784
_cell_angle_alpha 60.00
_cell_angle_beta 60.00
_cell_angle_gamma 60.00
_space_group_name_H-M_alt 'P 1'
_space_group_IT_number 1
_space_group_name_Hall 'P 1'
loop_
_atom_site_label
_atom_site_type_symbol
_atom_site_fract_x
_atom_site_fract_y
_atom_site_fract_z
Mg1 Mg 0.000 0.000 0.000
Np1 Np 0.000 0.000 0.500
Np2 Np 0.000 0.500 0.000
Np3 Np 0.000 0.500 0.500
Np4 Np 0.500 0.000 0.000
Np5 Np 0.500 0.000 0.500
Np6 Np 0.500 0.500 0.000
S1 S 0.243 0.243 0.757
S2 S 0.243 0.757 0.243
S3 S 0.243 0.757 0.757
S4 S 0.250 0.250 0.250
S5 S 0.750 0.750 0.750
S6 S 0.757 0.243 0.243
S7 S 0.757 0.243 0.757
S8 S 0.757 0.757 0.243
# Raw formation energy   -1.35 eV per atom
# Crystal system   cubic
# Size of the total moment   24.804 μB/f.u.
# Symmetry   Fm-3m

[6]
# MgNp3S6 | the Alexandria database | PBE | relaxed
data_MgNp3S6
_chemical_formula_sum 'Mg2 Np6 S12'
_cell_length_a 8.404
_cell_length_b 8.404
_cell_length_c 6.591
_cell_angle_alpha 90.00
_cell_angle_beta 90.00
_cell_angle_gamma 101.82
_space_group_name_H-M_alt 'P 1'
_space_group_IT_number 1
_space_group_name_Hall 'P 1'
loop_
_atom_site_label
_atom_site_type_symbol
_atom_site_fract_x
_atom_site_fract_y
_atom_site_fract_z
Mg1 Mg 0.192 0.808 0.500
Mg2 Mg 0.808 0.192 0.000
Np1 Np 0.081 0.283 0.530
Np2 Np 0.283 0.081 0.030
Np3 Np 0.398 0.602 0.120
Np4 Np 0.602 0.398 0.620
Np5 Np 0.717 0.919 0.530
Np6 Np 0.919 0.717 0.030
S1 S 0.026 0.974 0.311
S2 S 0.096 0.558 0.302
S3 S 0.226 0.774 0.863
S4 S 0.308 0.370 0.826
S5 S 0.370 0.308 0.326
S6 S 0.442 0.904 0.302
S7 S 0.558 0.096 0.802
S8 S 0.630 0.692 0.826
S9 S 0.692 0.630 0.326
S10 S 0.774 0.226 0.363
S11 S 0.904 0.442 0.802
S12 S 0.974 0.026 0.811
# Raw formation energy   -1.37 eV per atom
# Crystal system   orthorhombic
# Size of the total moment   11.000 μB/f.u.
# Symmetry   Cmc2_1

[7]
# MgNp6S12 | the Alexandria database | PBE | relaxed
data_MgNp6S12
_chemical_formula_sum 'Mg1 Np6 S12'
_cell_length_a 7.776
_cell_length_b 7.776
_cell_length_c 7.776
_cell_angle_alpha 100.16
_cell_angle_beta 100.16
_cell_angle_gamma 100.16
_space_group_name_H-M_alt 'P 1'
_space_group_IT_number 1
_space_group_name_Hall 'P 1'
loop_
_atom_site_label
_atom_site_type_symbol
_atom_site_fract_x
_atom_site_fract_y
_atom_site_fract_z
Mg1 Mg 0.000 0.000 0.000
Np1 Np 0.132 0.297 0.620
Np2 Np 0.297 0.620 0.132
Np3 Np 0.380 0.868 0.703
Np4 Np 0.620 0.132 0.297
Np5 Np 0.703 0.380 0.868
Np6 Np 0.868 0.703 0.380
S1 S 0.051 0.938 0.682
S2 S 0.062 0.318 0.949
S3 S 0.176 0.578 0.430
S4 S 0.318 0.949 0.062
S5 S 0.422 0.570 0.824
S6 S 0.430 0.176 0.578
S7 S 0.570 0.824 0.422
S8 S 0.578 0.430 0.176
S9 S 0.682 0.051 0.938
S10 S 0.824 0.422 0.570
S11 S 0.938 0.682 0.051
S12 S 0.949 0.062 0.318
# Raw formation energy   -1.33 eV per atom
# Crystal system   trigonal
# Size of the total moment   20.000 μB/f.u.
# Symmetry   R-3

[8]
# Y2MgNpS6 | the Alexandria database | PBE | relaxed
data_Y2MgNpS6
_chemical_formula_sum 'Y2 Mg1 Np1 S6'
_cell_length_a 7.250
_cell_length_b 7.250
_cell_length_c 7.250
_cell_angle_alpha 56.11
_cell_angle_beta 56.11
_cell_angle_gamma 56.11
_space_group_name_H-M_alt 'P 1'
_space_group_IT_number 1
_space_group_name_Hall 'P 1'
loop_
_atom_site_label
_atom_site_type_symbol
_atom_site_fract_x
_atom_site_fract_y
_atom_site_fract_z
Y1 Y 0.000 0.000 0.000
Y2 Y 0.496 0.496 0.496
Mg1 Mg 0.295 0.295 0.295
Np1 Np 0.799 0.799 0.799
S1 S 0.087 0.682 0.409
S2 S 0.191 0.585 0.910
S3 S 0.409 0.087 0.682
S4 S 0.585 0.910 0.191
S5 S 0.682 0.409 0.087
S6 S 0.910 0.191 0.585
# Raw formation energy   -1.65 eV per atom
# Crystal system   trigonal
# Size of the total moment   3.000 μB/f.u.
# Symmetry   R3

[9]
# MgNpSb2 | the Alexandria database | PBE | relaxed
data_MgNpSb2
_chemical_formula_sum 'Mg1 Np1 Sb2'
_cell_length_a 7.249
_cell_length_b 7.249
_cell_length_c 7.249
_cell_angle_alpha 35.54
_cell_angle_beta 35.54
_cell_angle_gamma 35.54
_space_group_name_H-M_alt 'P 1'
_space_group_IT_number 1
_space_group_name_Hall 'P 1'
loop_
_atom_site_label
_atom_site_type_symbol
_atom_site_fract_x
_atom_site_fract_y
_atom_site_fract_z
Mg1 Mg 0.000 0.000 0.000
Np1 Np 0.828 0.828 0.828
Sb1 Sb 0.247 0.247 0.247
Sb2 Sb 0.411 0.411 0.411
# Raw formation energy   -0.17 eV per atom
# Crystal system   trigonal
# Size of the total moment   3.767 μB/f.u.
# Symmetry   R3m

[10]
# MgNpSb2 | the Alexandria database | PBE | relaxed
data_MgNpSb2
_chemical_formula_sum 'Mg2 Np2 Sb4'
_cell_length_a 10.955
_cell_length_b 10.955
_cell_length_c 10.955
_cell_angle_alpha 156.73
_cell_angle_beta 156.73
_cell_angle_gamma 33.14
_space_group_name_H-M_alt 'P 1'
_space_group_IT_number 1
_space_group_name_Hall 'P 1'
loop_
_atom_site_label
_atom_site_type_symbol
_atom_site_fract_x
_atom_site_fract_y
_atom_site_fract_z
Mg1 Mg 0.250 0.750 0.500
Mg2 Mg 0.750 0.250 0.500
Np1 Np 0.109 0.109 0.000
Np2 Np 0.891 0.891 0.000
Sb1 Sb 0.000 0.500 0.500
Sb2 Sb 0.345 0.345 0.000
Sb3 Sb 0.500 0.000 0.500
Sb4 Sb 0.655 0.655 0.000
# Raw formation energy   -0.26 eV per atom
# Crystal system   tetragonal
# Size of the total moment   4.465 μB/f.u.
# Symmetry   I4/mmm

[11]
# MgNpSb2 | the Alexandria database | PBE | relaxed
data_MgNpSb2
_chemical_formula_sum 'Mg1 Np1 Sb2'
_cell_length_a 4.900
_cell_length_b 4.900
_cell_length_c 4.108
_cell_angle_alpha 90.00
_cell_angle_beta 90.00
_cell_angle_gamma 90.00
_space_group_name_H-M_alt 'P 1'
_space_group_IT_number 1
_space_group_name_Hall 'P 1'
loop_
_atom_site_label
_atom_site_type_symbol
_atom_site_fract_x
_atom_site_fract_y
_atom_site_fract_z
Mg1 Mg 0.000 0.000 0.000
Np1 Np 0.500 0.500 0.000
Sb1 Sb 0.000 0.500 0.500
Sb2 Sb 0.500 0.000 0.500
# Raw formation energy   -0.25 eV per atom
# Crystal system   tetragonal
# Size of the total moment   3.865 μB/f.u.
# Symmetry   P4/mmm

[12]
# MgNpSb2 | the Alexandria database | PBE | relaxed
data_MgNpSb2
_chemical_formula_sum 'Mg1 Np1 Sb2'
_cell_length_a 3.911
_cell_length_b 3.911
_cell_length_c 6.590
_cell_angle_alpha 90.00
_cell_angle_beta 90.00
_cell_angle_gamma 90.00
_space_group_name_H-M_alt 'P 1'
_space_group_IT_number 1
_space_group_name_Hall 'P 1'
loop_
_atom_site_label
_atom_site_type_symbol
_atom_site_fract_x
_atom_site_fract_y
_atom_site_fract_z
Mg1 Mg 0.000 0.000 0.000
Np1 Np 0.000 0.000 0.500
Sb1 Sb 0.500 0.500 0.246
Sb2 Sb 0.500 0.500 0.754
# Raw formation energy   -0.16 eV per atom
# Crystal system   tetragonal
# Size of the total moment   4.557 μB/f.u.
# Symmetry   P4/mmm